No. 1
Below is NaAgBiI2 after structural relaxation, with properties calculated at the GGA-PBE level.

Values from the calculation:
Formation energy from raw total energies   -0.04 eV/atom

Cell and atoms, written as extended XYZ:
```
5
Lattice="5.984 0.000 0.000 0.000 5.984 0.000 0.000 0.000 5.527" Properties=species:S:1:pos:R:3 pbc="T T T"
Na 0.000 0.000 0.000
Ag 2.992 2.992 2.763
Bi 2.992 2.992 0.000
I 0.000 2.992 2.763
I 2.992 0.000 2.763
```


No. 2
Below is NiAgBiI2 after structural relaxation, with properties calculated at the GGA-PBE level.

Values from the calculation:
Formation energy from raw total energies   0.46 eV/atom

Cell and atoms, written as extended XYZ:
```
5
Lattice="5.195 0.000 0.000 0.000 5.195 0.000 0.000 0.000 5.094" Properties=species:S:1:pos:R:3 pbc="T T T"
Ni 0.000 0.000 0.000
Ag 0.000 0.000 2.547
Bi 2.598 2.598 2.547
I 0.000 2.598 0.000
I 2.598 0.000 0.000
```


No. 3
Below is AgBiIO2 after structural relaxation, with properties calculated at the GGA-PBE level.

Values from the calculation:
Formation energy from raw total energies   -0.54 eV/atom
Excess energy over the best structure of this formula in the dataset   0.000 eV/atom

Cell and atoms, written as extended XYZ:
```
10
Lattice="2.958 -6.674 0.000 2.958 6.674 0.000 0.000 0.000 5.626" Properties=species:S:1:pos:R:3 pbc="T T T"
Ag 2.958 6.132 4.220
Ag 2.958 -6.132 1.407
Bi 2.958 1.256 4.220
Bi 2.958 -1.256 1.407
I 2.958 3.553 1.407
I 2.958 -3.553 4.220
O 1.639 0.000 0.000
O 1.639 0.000 2.813
O 4.277 0.000 0.000
O 4.277 0.000 2.813
```


No. 4
Below is Ag2BiIO6 after structural relaxation, with properties calculated at the GGA-PBE level.

Values from the calculation:
Formation energy from raw total energies   -0.43 eV/atom

Cell and atoms, written as extended XYZ:
```
10
Lattice="2.914 1.683 4.790 -2.914 1.683 4.790 0.000 -3.365 4.790" Properties=species:S:1:pos:R:3 pbc="T T T"
Ag 0.000 0.000 3.568
Ag 0.000 0.000 10.801
Bi 0.000 0.000 7.185
I 0.000 0.000 0.000
O -0.606 -1.904 5.903
O -1.952 -0.428 8.467
O -1.346 1.477 5.903
O 1.346 -1.477 8.467
O 1.952 0.428 5.903
O 0.606 1.904 8.467
```


No. 5
Below is AgBiIO2 after structural relaxation, with properties calculated at the GGA-PBE level.

Values from the calculation:
Formation energy from raw total energies   -0.29 eV/atom
Excess energy over the best structure of this formula in the dataset   0.254 eV/atom

Cell and atoms, written as extended XYZ:
```
5
Lattice="4.262 0.000 0.000 0.000 4.262 0.000 0.000 0.000 6.897" Properties=species:S:1:pos:R:3 pbc="T T T"
Ag 0.000 0.000 0.000
Bi 2.131 2.131 3.448
I 2.131 2.131 0.000
O 0.000 2.131 3.448
O 2.131 0.000 3.448
```


No. 6
Below is AgBiI2O after structural relaxation, with properties calculated at the GGA-PBE level.

Values from the calculation:
Formation energy from raw total energies   0.23 eV/atom
Excess energy over the best structure of this formula in the dataset   0.349 eV/atom

Cell and atoms, written as extended XYZ:
```
5
Lattice="5.878 0.000 0.000 0.000 5.878 0.000 0.000 0.000 4.000" Properties=species:S:1:pos:R:3 pbc="T T T"
Ag 0.000 0.000 0.000
Bi 2.939 2.939 2.000
I 0.000 2.939 0.000
I 2.939 0.000 0.000
O 0.000 0.000 2.000
```


No. 7
Below is AgBiIO2 after structural relaxation, with properties calculated at the GGA-PBE level.

Values from the calculation:
Formation energy from raw total energies   0.44 eV/atom
Excess energy over the best structure of this formula in the dataset   0.978 eV/atom

Cell and atoms, written as extended XYZ:
```
5
Lattice="4.425 0.000 0.000 0.000 4.425 0.000 0.000 0.000 5.204" Properties=species:S:1:pos:R:3 pbc="T T T"
Ag 0.000 0.000 0.000
Bi 2.212 2.212 2.602
I 0.000 0.000 2.602
O 0.000 2.212 0.000
O 2.212 0.000 0.000
```


No. 8
Below is AgBiI2O after structural relaxation, with properties calculated at the GGA-PBE level.

Values from the calculation:
Formation energy from raw total energies   -0.12 eV/atom
Excess energy over the best structure of this formula in the dataset   0.000 eV/atom

Cell and atoms, written as extended XYZ:
```
5
Lattice="6.267 0.000 0.000 0.000 6.267 0.000 0.000 0.000 4.306" Properties=species:S:1:pos:R:3 pbc="T T T"
Ag 0.000 0.000 0.000
Bi 3.133 3.133 2.153
I 0.000 3.133 2.153
I 3.133 0.000 2.153
O 3.133 3.133 0.000
```